1.
LiAsS2Cl | PBE | optimized geometry

Lattice parameters (Å, degrees): 4.7340 4.7340 5.2081 90.00 90.00 90.00
Element x y z (fractional)
Li 0.5000 0.5000 0.5000
S 0.5000 0.0000 0.0000
S 0.0000 0.5000 0.0000
As 0.0000 0.0000 0.0000
Cl 0.0000 0.0000 0.5000

Properties
Uncorrected energy = -17.64 eV/cell
Relative energy among the computed polymorphs = 0.00 eV per formula unit
Energy relative to the elements, uncorrected = -195 meV per atom
Space group = P4/mmm (123)



2.
LaIn4Au | PBE | optimized geometry

Lattice parameters (Å, degrees): 6.0908 6.0908 6.0908 60.00 60.00 60.00
Element x y z (fractional)
In 0.3750 0.8751 0.3750
In 0.3750 0.3750 0.3750
In 0.3750 0.3750 0.8751
In 0.8751 0.3750 0.3750
La 0.7500 0.7500 0.7500
Au 0.0000 0.0000 0.0000

Properties
Uncorrected energy = -19.83 eV/cell
DFT formation energy = -0.112 eV per atom
Space group = F-43m (216)



3.
Pm15PrTl4 | PBE | optimized geometry

Lattice parameters (Å, degrees): 4.9667 4.9667 25.4683 90.00 90.00 90.00
Element x y z (fractional)
Pm 0.5000 0.0000 0.3041
Pm 0.0000 0.5000 0.1069
Pm 0.5000 0.0000 0.8931
Pm 0.0000 0.5000 0.8931
Pm 0.0000 0.5000 0.5000
Pm 0.5000 0.5000 0.2066
Pm 0.5000 0.5000 0.7934
Pm 0.5000 0.0000 0.1069
Pm 0.0000 0.5000 0.6959
Pm 0.5000 0.5000 0.5981
Pm 0.5000 0.0000 0.5000
Pm 0.5000 0.5000 0.4019
Pm 0.5000 0.0000 0.6959
Pm 0.0000 0.5000 0.3041
Pm 0.5000 0.5000 0.0000
Tl 0.0000 0.0000 0.5976
Tl 0.0000 0.0000 0.7931
Tl 0.0000 0.0000 0.4024
Tl 0.0000 0.0000 0.2069
Pr 0.0000 0.0000 0.0000

Properties
Uncorrected energy = -88.53 eV/cell
DFT formation energy = -0.151 eV per atom
Space group = P4/mmm (123)



4.
RbIn2Hg4 | PBE | optimized geometry

Lattice parameters (Å, degrees): 5.4572 5.4823 7.8449 110.45 90.00 90.00
Element x y z (fractional)
In 0.5000 0.6019 0.2039
In 0.5000 0.3981 0.7961
Rb 0.0000 0.0000 0.0000
Hg 0.5000 0.1756 0.3512
Hg 0.0000 0.3076 0.6152
Hg 0.0000 0.6924 0.3848
Hg 0.5000 0.8244 0.6488

Properties
Uncorrected energy = -8.48 eV/cell
DFT formation energy = -0.118 eV per atom
Relative energy among the computed polymorphs = 0.00 eV per formula unit
Space group = Cmmm (65)



Record-wise ρ values, in Mg/m³: 2.581; 8.264; 8.282; 8.438